Record 1
An optimized crystal structure of RbCuHgCl4, computed with PBE-GGA.

Summary:
* formation energy without anion corrections: -0.9290 eV/atom
* size of the total moment: 0.173 μB/cell

abc: 5.853 7.614 9.309
angles: 90.00 107.82 90.00
Space group P2_1/m (No. 11)
Unique sites:
Rb1 0.215 0.250 0.404 (multiplicity 2)
Cu1 0.204 0.250 0.796 (multiplicity 2)
Hg1 0.343 0.750 0.091 (multiplicity 2)
Cl1 0.088 0.250 0.033 (multiplicity 2)
Cl2 0.199 0.750 0.366 (multiplicity 2)
Cl3 0.331 0.523 0.773 (multiplicity 4)

---

Record 2
An optimized crystal structure of PmTcN3, computed with PBE-GGA.

Summary:
* density of states at the Fermi level: 17.886 states/eV/cell
* formation energy without anion corrections: -0.5460 eV/atom
* size of the total moment: 0.000 μB/cell

abc: 11.033 9.942 6.319
angles: 90.00 111.24 90.00
Space group C2/c (No. 15)
Unique sites:
Pm1 0.000 0.092 0.250 (multiplicity 4)
Pm2 0.000 0.306 0.750 (multiplicity 4)
Tc1 0.210 0.412 0.233 (multiplicity 8)
N1 0.114 0.112 0.661 (multiplicity 8)
N2 0.122 0.257 0.153 (multiplicity 8)
N3 0.153 0.500 0.448 (multiplicity 8)

---

Record 3
An optimized crystal structure of ZrCu2Pt2, computed with PBE-GGA.

Summary:
* excess energy over the best structure of this formula in the dataset: 193 meV per atom
* density of states at the Fermi level: 4.136 states/eV/cell
* formation energy: -381 meV/atom
* size of the total moment: 0.000 μB/cell

abc: 7.312 7.312 2.944
angles: 90.00 90.00 90.00
Space group P4/mbm (No. 127)
Unique sites:
Zr1 0.000 0.000 0.000 (multiplicity 2)
Cu1 0.159 0.341 0.500 (multiplicity 4)
Pt1 0.138 0.638 0.000 (multiplicity 4)

---

Record 4
An optimized crystal structure of Ta2CdHIr, computed with PBE-GGA.

Summary:
* density of states at the Fermi level: 3.581 states/eV/cell
* final energy: -0.26899 Ha/atom
* size of the total moment: 0.000 μB/cell

abc: 4.065 4.065 4.352
angles: 90.00 90.00 90.00
Space group P4/mmm (No. 123)
Unique sites:
Ta1 0.000 0.500 0.000 (multiplicity 2)
Cd1 0.000 0.000 0.500 (multiplicity 1)
H1 0.000 0.000 0.000 (multiplicity 1)
Ir1 0.500 0.500 0.500 (multiplicity 1)

---

Record 5
An optimized crystal structure of Sm2MnZn2Pd5, computed with PBE-GGA.

Summary:
* density of states at the Fermi level: 8.848 states/eV/cell
* formation energy: -578 meV/atom
* size of the total moment: 7.933 μB/cell

abc: 9.747 9.747 3.795
angles: 90.00 90.00 90.00
Space group P4/mbm (No. 127)
Unique sites:
Sm1 0.177 0.323 0.000 (multiplicity 4)
Mn1 0.000 0.000 0.000 (multiplicity 2)
Zn1 0.121 0.621 0.000 (multiplicity 4)
Pd1 0.000 0.500 0.500 (multiplicity 2)
Pd2 0.064 0.798 0.500 (multiplicity 8)

---

Record 6
An optimized crystal structure of LiYHf2Zn, computed with PBE-GGA.

Summary:
* density of states at the Fermi level: 8.667 states/eV/cell
* formation energy: 683 meV/atom
* size of the total moment: 0.000 μB/cell

abc: 5.010 5.010 5.432
angles: 90.00 90.00 90.00
Space group P4/mmm (No. 123)
Unique sites:
Li1 0.000 0.000 0.000 (multiplicity 1)
Y1 0.500 0.500 0.000 (multiplicity 1)
Hf1 0.000 0.500 0.500 (multiplicity 2)
Zn1 0.500 0.500 0.500 (multiplicity 1)